1.
HfTl2Si2 | PBE | optimized geometry

abc: 3.383 3.383 19.398
angles: 90.00 90.00 90.00
Fractional coordinates of all 10 atoms:
Hf 0.000 0.000 0.000
Hf 0.500 0.500 0.500
Tl 0.000 0.000 0.392
Tl 0.000 0.000 0.608
Tl 0.500 0.500 0.108
Tl 0.500 0.500 0.892
Si 0.000 0.500 0.250
Si 0.000 0.500 0.750
Si 0.500 0.000 0.250
Si 0.500 0.000 0.750

Summary:
Symmetry   I4/mmm, No. 139
V   22.2 Å³/atom

2.
HfTl2Si2 | PBE | optimized geometry

abc: 7.880 7.880 3.529
angles: 90.00 90.00 90.00
Fractional coordinates of all 10 atoms:
Hf 0.000 0.000 0.000
Hf 0.500 0.500 0.000
Tl 0.137 0.363 0.000
Tl 0.363 0.863 0.000
Tl 0.637 0.137 0.000
Tl 0.863 0.637 0.000
Si 0.166 0.666 0.500
Si 0.334 0.166 0.500
Si 0.666 0.834 0.500
Si 0.834 0.334 0.500

Summary:
Symmetry   P4/mbm, No. 127
V   21.9 Å³/atom

3.
HfTl2Si | PBE | optimized geometry

abc: 8.022 8.022 5.804
angles: 90.00 90.00 90.00
Fractional coordinates of all 16 atoms:
Hf 0.000 0.000 0.000
Hf 0.000 0.500 0.250
Hf 0.500 0.000 0.750
Hf 0.500 0.500 0.500
Tl 0.225 0.750 0.625
Tl 0.250 0.225 0.375
Tl 0.250 0.275 0.875
Tl 0.275 0.750 0.125
Tl 0.725 0.250 0.125
Tl 0.750 0.725 0.875
Tl 0.750 0.775 0.375
Tl 0.775 0.250 0.625
Si 0.000 0.000 0.500
Si 0.000 0.500 0.750
Si 0.500 0.000 0.250
Si 0.500 0.500 0.000

Summary:
Symmetry   I-42d, No. 122
V   23.3 Å³/atom

| no. | formation energy from raw total energies (meV per atom) | relative energy among the computed polymorphs (eV/atom) | DFT total energy (eV/cell) |
| --- | --- | --- | --- |
| 1 | 407 | 0.000 | -47.0 |
| 2 | 667 | 0.259 | -44.4 |
| 3 | 459 | 0.000 | -73.1 |